Entry 1:
Material: SbSeCl3
Method: DFT, PBE
State: relaxed

The structure belongs to space group Pm-3m (No. 221); the cell edges are 5.324, 5.324 and 5.324 Å and the angles 90.00°, 90.00° and 90.00°. The inequivalent atoms are Sb at (0.000, 0.000, 0.000), Se at (0.500, 0.500, 0.500) and Cl at (0.000, 0.000, 0.500).

The distance to the lowest polymorph of the same formula is 491 meV per atom. As for the total magnetization: 2.06 μB/cell. Its crystal system is cubic. The value obtained for the uncorrected formation energy is -0.09 eV per atom. Its total energy is -13.61 eV/f.u.

Entry 2:
Material: MnZn2Pt
Method: DFT, PBE
State: relaxed

The structure belongs to space group I-42d (No. 122); the cell edges are 7.023, 7.023 and 5.263 Å and the angles 90.00°, 90.00° and 90.00°. The inequivalent atoms are Mn at (0.000, 0.000, 0.000), Zn at (0.243, 0.250, 0.625) and Pt at (0.000, 0.000, 0.500).

As for the total magnetization: 15.26 μB/cell. Its crystal system is tetragonal. Its total energy is -17.49 eV/f.u.

Entry 3:
Material: CaZnTc2
Method: DFT, PBE
State: relaxed

The structure belongs to space group P4/mmm (No. 123); the cell edges are 3.383, 3.383 and 6.531 Å and the angles 90.00°, 90.00° and 90.00°. The inequivalent atoms are Ca at (0.000, 0.000, 0.000), Zn at (0.000, 0.000, 0.500) and Tc at (0.500, 0.500, 0.326).

As for the total magnetization: 0.00 μB/cell. Its crystal system is tetragonal. Its total energy is -22.50 eV/f.u.

Entry 4:
Material: CeHoPu2S4
Method: DFT, PBE
State: relaxed

The structure belongs to space group P2/m (No. 10); the cell edges are 6.842, 3.946 and 6.865 Å and the angles 90.00°, 109.30° and 90.00°. The inequivalent atoms are Ce at (0.000, 0.000, 0.000), Ho at (0.000, 0.500, 0.500), Pu at (0.500, 0.000, 0.500), Pu at (0.500, 0.500, 0.000), S at (0.249, 0.000, 0.744) and S at (0.254, 0.500, 0.257).

As for the total magnetization: 12.03 μB/cell. Its crystal system is monoclinic. The value obtained for the uncorrected formation energy is -1.90 eV per atom. Its total energy is -70.91 eV/f.u.